A) # Tl2NiGe2

A relaxed structure of Tl2NiGe2 (PBE, the Alexandria database).

The space group is I4/mmm (No. 139) and the conventional cell measures 3.576, 3.576 and 17.574 Å, with angles of 90.00, 90.00 and 90.00 degrees. The asymmetric unit holds Tl at (0.000, 0.000, 0.088), Ni at (0.000, 0.000, 0.500) and Ge at (0.000, 0.500, 0.250).

The calculation puts the density of states at the Fermi level at 7.03 states/eV per cell.

B) # Tl2NiGe2

A relaxed structure of Tl2NiGe2 (PBE, the Alexandria database).

The space group is P4/mbm (No. 127) and the conventional cell measures 6.346, 6.346 and 5.410 Å, with angles of 90.00, 90.00 and 90.00 degrees. The asymmetric unit holds Tl at (0.182, 0.318, 0.000), Ni at (0.000, 0.000, 0.500) and Ge at (0.151, 0.651, 0.500).

The calculation puts the density of states at the Fermi level at 3.11 states/eV per cell.

C) # Tl2NiGe2

A relaxed structure of Tl2NiGe2 (PBE, the Alexandria database).

The space group is P4/mbm (No. 127) and the conventional cell measures 7.057, 7.057 and 4.639 Å, with angles of 90.00, 90.00 and 90.00 degrees. The asymmetric unit holds Tl at (0.171, 0.329, 0.000), Ni at (0.000, 0.000, 0.000) and Ge at (0.137, 0.637, 0.500).

The calculation puts the density of states at the Fermi level at 3.01 states/eV per cell.

Most stable to least stable: B), A), C)

A) # TlNiGe2

A relaxed structure of TlNiGe2 (PBE, the Alexandria database).

The space group is R-3m (No. 166, hexagonal axes) and the conventional cell measures 3.2952, 3.2952 and 26.2029 Å, with angles of 90.00, 90.00 and 120.00 degrees. The asymmetric unit holds Tl at (0.0000, 0.0000, 0.0000), Ni at (0.0000, 0.0000, 0.5000) and Ge at (0.0000, 0.0000, 0.1097).

The calculation puts the density of states at the Fermi level at 7.18 states/eV per cell.

B) # TlNiGe2

A relaxed structure of TlNiGe2 (PBE, the Alexandria database).

The space group is I-42d (No. 122) and the conventional cell measures 4.764, 4.764 and 15.429 Å, with angles of 90.00, 90.00 and 90.00 degrees. The asymmetric unit holds Tl at (0.000, 0.000, 0.000), Ni at (0.000, 0.000, 0.500) and Ge at (0.133, 0.250, 0.625).

The calculation puts the density of states at the Fermi level at 15.08 states/eV per cell.

Most stable to least stable: A), B)